VASP calculation (SCAN) on a PBEsol-optimized structure of CaTa2Al.

The calculation puts the density of states at the Fermi level at 0.66 states/eV/atom. The formation energy comes out at 0.336 eV/atom. The total DFT energy (no corrections) comes out at -149.2 eV per formula unit.

It has space group Cm (No. 8), with a = 9.483 Å, b = 2.901 Å, c = 5.932 Å, α = 90.00°, β = 95.80° and γ = 90.00°. The distinct sites, in fractional coordinates, are Ca at (0.000, 0.000, 0.000), Ta at (0.229, 0.000, 0.685), Ta at (0.491, 0.000, 0.502) and Al at (0.255, 0.500, 0.282).